Density functional theory data (GGA-PBEsol) for a relaxed structure of BaHgAu.

Computed properties:
raw total energy: -2.808 eV per atom
V: 28.88 A^3/atom
DOS(E_F): 2.333 states/eV/f.u.
symmetry: No. 187
M_tot: 0.00 μB/cell

Cell: 4.9087 4.9087 4.1521 Å, 90.00 90.00 120.00°
Closest atoms and distances in Å follow each position.
Fractional coordinates of all 3 atoms:
Ba 0.0000 0.0000 0.0000  6 Hg 3.51, 6 Au 3.51
Hg 0.3333 0.6667 0.5000  3 Au 2.83
Au 0.6667 0.3333 0.5000  3 Hg 2.83

Density functional theory data (GGA-PBEsol) for a relaxed structure of BaHg2Au.

Computed properties:
raw total energy: -2.194 eV per atom
V: 26.65 A^3/atom
DOS(E_F): 3.068 states/eV/f.u.
symmetry: No. 216
M_tot: 0.00 μB/cell

Cell: 7.5270 7.5270 7.5270 Å, 90.00 90.00 90.00°
Closest atoms and distances in Å follow each position.
Fractional coordinates of all 16 atoms:
Ba 0.0000 0.0000 0.0000  4 Hg 3.26, 4 Au 3.26
Ba 0.0000 0.5000 0.5000  4 Hg 3.26, 4 Au 3.26
Ba 0.5000 0.0000 0.5000  4 Hg 3.26, 4 Au 3.26
Ba 0.5000 0.5000 0.0000  4 Hg 3.26, 4 Au 3.26
Hg 0.0000 0.0000 0.5000  4 Hg 3.26, 4 Au 3.26
Hg 0.0000 0.5000 0.0000  4 Hg 3.26, 4 Au 3.26
Hg 0.2500 0.2500 0.7500  4 Hg 3.26, 4 Ba 3.26
Hg 0.2500 0.7500 0.2500  4 Hg 3.26, 4 Ba 3.26
Hg 0.5000 0.0000 0.0000  4 Hg 3.26, 4 Au 3.26
Hg 0.5000 0.5000 0.5000  4 Hg 3.26, 4 Au 3.26
Hg 0.7500 0.2500 0.2500  4 Hg 3.26, 4 Ba 3.26
Hg 0.7500 0.7500 0.7500  4 Hg 3.26, 4 Ba 3.26
Au 0.2500 0.2500 0.2500  4 Hg 3.26, 4 Ba 3.26
Au 0.2500 0.7500 0.7500  4 Hg 3.26, 4 Ba 3.26
Au 0.7500 0.2500 0.7500  4 Hg 3.26, 4 Ba 3.26
Au 0.7500 0.7500 0.2500  4 Hg 3.26, 4 Ba 3.26

Density functional theory data (GGA-PBEsol) for a relaxed structure of BaHg2Au.

Computed properties:
raw total energy: -2.214 eV per atom
V: 26.97 A^3/atom
DOS(E_F): 1.683 states/eV/f.u.
symmetry: No. 71
M_tot: 0.00 μB/cell

Cell: 4.1725 5.3320 9.6965 Å, 90.00 90.00 90.00°
Closest atoms and distances in Å follow each position.
Fractional coordinates of all 8 atoms:
Ba 0.0000 0.0000 0.0000  4 Au 3.39, 8 Hg 3.40-3.44
Ba 0.5000 0.5000 0.5000  4 Au 3.39, 8 Hg 3.40-3.44
Hg 0.0000 0.5000 0.2183  2 Au 2.97
Hg 0.0000 0.5000 0.7817  2 Au 2.97
Hg 0.5000 0.0000 0.2817  2 Au 2.97
Hg 0.5000 0.0000 0.7183  2 Au 2.97
Au 0.0000 0.0000 0.5000  4 Hg 2.97
Au 0.5000 0.5000 0.0000  4 Hg 2.97

Density functional theory data (GGA-PBEsol) for a relaxed structure of BaMnAu2I.

Computed properties:
V: 26.96 A^3/atom
DOS(E_F): 3.217 states/eV/f.u.
symmetry: No. 123
M_tot: 3.83 μB/cell
formation energy without anion corrections: -1.242 eV/f.u.

Cell: 5.0464 5.0464 5.2942 Å, 90.00 90.00 90.00°
Closest atoms and distances in Å follow each position.
Fractional coordinates of all 5 atoms:
Ba 0.0000 0.0000 0.0000  4 I 3.57, 8 Au 3.66
Mn 0.5000 0.5000 0.5000  4 Au 2.52, 2 I 2.65
Au 0.0000 0.5000 0.5000  2 Mn 2.52
Au 0.5000 0.0000 0.5000  2 Mn 2.52
I 0.5000 0.5000 0.0000  2 Mn 2.65

Density functional theory data (GGA-PBEsol) for a relaxed structure of BaAuI2O.

Computed properties:
V: 28.06 A^3/atom
DOS(E_F): 3.652 states/eV/f.u.
symmetry: No. 123
M_tot: 0.31 μB/cell
formation energy without anion corrections: -3.567 eV/f.u.

Cell: 5.8196 5.8196 4.1425 Å, 90.00 90.00 90.00°
Closest atoms and distances in Å follow each position.
Fractional coordinates of all 5 atoms:
Ba 0.0000 0.0000 0.0000  8 I 3.57
Au 0.5000 0.5000 0.5000  2 O 2.07
I 0.0000 0.5000 0.5000  2 Au 2.91
I 0.5000 0.0000 0.5000  2 Au 2.91
O 0.5000 0.5000 0.0000  2 Au 2.07

Density functional theory data (GGA-PBEsol) for a relaxed structure of BaSiAu2I.

Computed properties:
V: 34.68 A^3/atom
DOS(E_F): 5.069 states/eV/f.u.
symmetry: No. 123
M_tot: 0.01 μB/cell
formation energy without anion corrections: 3.366 eV/f.u.

Cell: 5.2141 5.2141 6.3782 Å, 90.00 90.00 90.00°
Closest atoms and distances in Å follow each position.
Fractional coordinates of all 5 atoms:
Ba 0.0000 0.0000 0.0000  2 I 3.19
Si 0.5000 0.5000 0.0000  4 Ba 3.69, 8 Au 4.12
Au 0.0000 0.5000 0.5000  2 I 2.61
Au 0.5000 0.0000 0.5000  2 I 2.61
I 0.0000 0.0000 0.5000  4 Au 2.61

Density functional theory data (GGA-PBEsol) for a relaxed structure of BaTeAuI2.

Computed properties:
V: 34.79 A^3/atom
DOS(E_F): 1.187 states/eV/f.u.
symmetry: No. 123
M_tot: 0.00 μB/cell
formation energy without anion corrections: -3.695 eV/f.u.

Cell: 5.5708 5.5708 5.6046 Å, 90.00 90.00 90.00°
Closest atoms and distances in Å follow each position.
Fractional coordinates of all 5 atoms:
Ba 0.0000 0.0000 0.0000  4 Te 3.94, 8 I 3.95
Te 0.5000 0.5000 0.0000  2 Au 2.80
Au 0.5000 0.5000 0.5000  4 I 2.79, 2 Te 2.80
I 0.0000 0.5000 0.5000  2 Au 2.79
I 0.5000 0.0000 0.5000  2 Au 2.79

Density functional theory data (GGA-PBEsol) for a relaxed structure of Ba2InAu.

Computed properties:
raw total energy: -3.274 eV per atom
V: 33.45 A^3/atom
DOS(E_F): 1.964 states/eV/f.u.
symmetry: No. 123
M_tot: 0.00 μB/cell

Cell: 5.8006 5.8006 3.9765 Å, 90.00 90.00 90.00°
Closest atoms and distances in Å follow each position.
Fractional coordinates of all 4 atoms:
Ba 0.0000 0.5000 0.0000  4 In 3.52, 4 Au 3.52
Ba 0.5000 0.0000 0.0000  4 In 3.52, 4 Au 3.52
In 0.0000 0.0000 0.5000  8 Ba 3.52
Au 0.5000 0.5000 0.5000  8 Ba 3.52

Density functional theory data (GGA-PBEsol) for a relaxed structure of BaIn2Au.

Computed properties:
raw total energy: -3.464 eV per atom
V: 29.20 A^3/atom
DOS(E_F): 2.981 states/eV/f.u.
symmetry: No. 166
M_tot: 0.00 μB/cell

Cell: 4.6512 4.6512 18.7025 Å, 90.00 90.00 120.00°
Closest atoms and distances in Å follow each position.
Fractional coordinates of all 12 atoms:
Ba 0.0000 0.0000 0.0000  6 In 3.51
Ba 0.3333 0.6667 0.6667  6 In 3.51
Ba 0.6667 0.3333 0.3333  6 In 3.51
In 0.0000 0.0000 0.2124  3 Au 2.82
In 0.0000 0.0000 0.7876  3 Au 2.82
In 0.3333 0.6667 0.4543  3 Au 2.82
In 0.3333 0.6667 0.8791  3 Au 2.82
In 0.6667 0.3333 0.1209  3 Au 2.82
In 0.6667 0.3333 0.5457  3 Au 2.82
Au 0.0000 0.0000 0.5000  6 In 2.82
Au 0.3333 0.6667 0.1667  6 In 2.82
Au 0.6667 0.3333 0.8333  6 In 2.82

Density functional theory data (GGA-PBEsol) for a relaxed structure of BaIn2Au.

Computed properties:
raw total energy: -3.343 eV per atom
V: 26.88 A^3/atom
DOS(E_F): 2.373 states/eV/f.u.
symmetry: No. 99
M_tot: 0.00 μB/cell

Cell: 3.6873 3.6873 7.9083 Å, 90.00 90.00 90.00°
Closest atoms and distances in Å follow each position.
Fractional coordinates of all 4 atoms:
Ba 0.0000 0.0000 0.0000  4 Au 3.41, 5 In 3.55-3.66, 4 Ba 3.69
In 0.0000 0.0000 0.5510  4 Au 2.93, 4 In 3.17
In 0.5000 0.5000 0.3240  1 Au 3.14, 4 In 3.17
Au 0.5000 0.5000 0.7213  5 In 2.93-3.14

Density functional theory data (GGA-PBEsol) for a relaxed structure of Ba4InAu.

Computed properties:
raw total energy: -2.240 eV per atom
V: 38.47 A^3/atom
DOS(E_F): 9.514 states/eV/f.u.
symmetry: No. 216
M_tot: 0.00 μB/cell

Cell: 6.8852 6.8852 6.8852 Å, 60.00 60.00 60.00°
Closest atoms and distances in Å follow each position.
Fractional coordinates of all 6 atoms:
Ba 0.1246 0.1246 0.1246  6 Ba 3.43-3.45
Ba 0.1246 0.1246 0.6262  6 Ba 3.43-3.45
Ba 0.1246 0.6262 0.1246  6 Ba 3.43-3.45
Ba 0.6262 0.1246 0.1246  6 Ba 3.43-3.45
In 0.5000 0.5000 0.5000  12 Ba 4.04, 4 Au 4.22
Au 0.7500 0.7500 0.7500  12 Ba 4.04, 4 In 4.22

Density functional theory data (GGA-PBEsol) for a relaxed structure of BaInAu2.

Computed properties:
raw total energy: -3.582 eV per atom
V: 25.51 A^3/atom
DOS(E_F): 1.800 states/eV/f.u.
symmetry: No. 123
M_tot: 0.00 μB/cell

Cell: 5.1002 5.1002 3.9222 Å, 90.00 90.00 90.00°
Closest atoms and distances in Å follow each position.
Fractional coordinates of all 4 atoms:
Ba 0.0000 0.0000 0.0000  8 Au 3.22
In 0.5000 0.5000 0.0000  8 Au 3.22
Au 0.0000 0.5000 0.5000  4 Ba 3.22, 4 In 3.22
Au 0.5000 0.0000 0.5000  4 Ba 3.22, 4 In 3.22